No. 1
# TeRh2

Crystalline TeRh2 at its relaxed geometry (PBE, the Alexandria database).

Calculated values
For the energy above the lowest structure with this stoichiometry, the calculation gives 0.3885 eV/atom. The calculation puts the formation energy without anion corrections at 219 meV per atom.

a = 3.228 Å, b = 3.228 Å, c = 5.897 Å
α = 90.00°, β = 90.00°, γ = 120.00°
Sites, in units of the cell vectors:
Te 0.000 0.000 0.000
Rh 0.333 0.667 0.678
Rh 0.667 0.333 0.322

No. 2
# CsK3Rb

Crystalline CsK3Rb at its relaxed geometry (PBE, the Alexandria database).

Calculated values
For the energy above the lowest structure with this stoichiometry, the calculation gives 0.1554 eV/atom. Its formation energy is 0.165 eV per atom.

a = 7.956 Å, b = 7.956 Å, c = 7.956 Å
α = 90.00°, β = 90.00°, γ = 90.00°
Sites, in units of the cell vectors:
Cs 0.000 0.000 0.000
K 0.000 0.500 0.500
K 0.500 0.000 0.500
K 0.500 0.500 0.000
Rb 0.500 0.500 0.500

No. 3
# RbPdO3

Crystalline RbPdO3 at its relaxed geometry (PBE, the Alexandria database).

Calculated values
The calculation puts the formation energy without anion corrections at -599 meV per atom.

a = 8.154 Å, b = 8.154 Å, c = 5.373 Å
α = 90.46°, β = 90.46°, γ = 86.65°
Sites, in units of the cell vectors:
Rb 0.089 0.310 0.184
Rb 0.310 0.089 0.684
Rb 0.690 0.911 0.316
Rb 0.911 0.690 0.816
Pd 0.284 0.716 0.250
Pd 0.431 0.569 0.750
Pd 0.569 0.431 0.250
Pd 0.716 0.284 0.750
O 0.062 0.716 0.351
O 0.222 0.602 0.934
O 0.284 0.938 0.149
O 0.345 0.481 0.419
O 0.398 0.778 0.566
O 0.481 0.345 0.919
O 0.519 0.655 0.081
O 0.602 0.222 0.434
O 0.655 0.519 0.581
O 0.716 0.062 0.851
O 0.778 0.398 0.066
O 0.938 0.284 0.649

No. 4
# ScTi2Zn2

Crystalline ScTi2Zn2 at its relaxed geometry (PBE, the Alexandria database).

Calculated values
For the energy above the lowest structure with this stoichiometry, the calculation gives 0.1557 eV/atom. Its formation energy is -0.023 eV per atom.

a = 3.897 Å, b = 3.897 Å, c = 12.049 Å
α = 90.00°, β = 90.00°, γ = 90.00°
Sites, in units of the cell vectors:
Sc 0.000 0.000 0.000
Sc 0.500 0.500 0.500
Ti 0.000 0.500 0.250
Ti 0.000 0.500 0.750
Ti 0.500 0.000 0.250
Ti 0.500 0.000 0.750
Zn 0.000 0.000 0.401
Zn 0.000 0.000 0.599
Zn 0.500 0.500 0.099
Zn 0.500 0.500 0.901

No. 5
# HoMg3Hg

Crystalline HoMg3Hg at its relaxed geometry (PBE, the Alexandria database).

Calculated values
Its formation energy is -0.182 eV per atom.

a = 9.767 Å, b = 3.812 Å, c = 13.033 Å
α = 90.00°, β = 90.00°, γ = 90.00°
Sites, in units of the cell vectors:
Ho 0.156 0.250 0.003
Ho 0.344 0.750 0.503
Ho 0.656 0.250 0.497
Ho 0.844 0.750 0.997
Mg 0.071 0.250 0.412
Mg 0.085 0.750 0.215
Mg 0.161 0.750 0.793
Mg 0.339 0.250 0.293
Mg 0.415 0.250 0.715
Mg 0.429 0.750 0.912
Mg 0.571 0.250 0.088
Mg 0.585 0.750 0.285
Mg 0.661 0.750 0.707
Mg 0.839 0.250 0.207
Mg 0.915 0.250 0.785
Mg 0.929 0.750 0.588
Hg 0.146 0.250 0.626
Hg 0.354 0.750 0.126
Hg 0.646 0.250 0.874
Hg 0.854 0.750 0.374

No. 6
# Na3InI6

Crystalline Na3InI6 at its relaxed geometry (PBE, the Alexandria database).

Calculated values
For the energy above the lowest structure with this stoichiometry, the calculation gives 0.0100 eV/atom. The calculation puts the formation energy without anion corrections at -906 meV per atom.

a = 7.770 Å, b = 8.320 Å, c = 13.959 Å
α = 90.00°, β = 123.29°, γ = 90.00°
Sites, in units of the cell vectors:
Na 0.000 0.000 0.000
Na 0.000 0.500 0.500
Na 0.199 0.100 0.740
Na 0.199 0.400 0.240
Na 0.801 0.600 0.760
Na 0.801 0.900 0.260
In 0.500 0.000 0.500
In 0.500 0.500 0.000
I 0.122 0.177 0.430
I 0.122 0.323 0.930
I 0.257 0.697 0.423
I 0.257 0.803 0.923
I 0.414 0.055 0.266
I 0.414 0.445 0.766
I 0.586 0.555 0.234
I 0.586 0.945 0.734
I 0.743 0.197 0.077
I 0.743 0.303 0.577
I 0.878 0.677 0.070
I 0.878 0.823 0.570

No. 7
# AsPWSe2

Crystalline AsPWSe2 at its relaxed geometry (PBE, the Alexandria database).

Calculated values
For the energy above the lowest structure with this stoichiometry, the calculation gives 0.4138 eV/atom. The calculation puts the formation energy without anion corrections at 1229 meV per atom.

a = 4.733 Å, b = 4.733 Å, c = 4.591 Å
α = 90.00°, β = 90.00°, γ = 90.00°
Sites, in units of the cell vectors:
As 0.000 0.000 0.000
P 0.000 0.000 0.500
W 0.500 0.500 0.000
Se 0.000 0.500 0.500
Se 0.500 0.000 0.500

No. 8
# Pm15Dy2Sc2

Crystalline Pm15Dy2Sc2 at its relaxed geometry (PBE, the Alexandria database).

Calculated values
Its formation energy is 0.276 eV per atom.

a = 8.808 Å, b = 8.808 Å, c = 8.808 Å
α = 78.48°, β = 78.48°, γ = 78.48°
Sites, in units of the cell vectors:
Pm 0.000 0.000 0.500
Pm 0.000 0.292 0.708
Pm 0.000 0.500 0.000
Pm 0.000 0.708 0.292
Pm 0.155 0.619 0.619
Pm 0.292 0.000 0.708
Pm 0.292 0.708 0.000
Pm 0.381 0.381 0.845
Pm 0.381 0.845 0.381
Pm 0.500 0.000 0.000
Pm 0.619 0.155 0.619
Pm 0.619 0.619 0.155
Pm 0.708 0.000 0.292
Pm 0.708 0.292 0.000
Pm 0.845 0.381 0.381
Dy 0.310 0.310 0.310
Dy 0.690 0.690 0.690
Sc 0.088 0.088 0.088
Sc 0.912 0.912 0.912

no.,E_tot (eV/atom)
1,-5.729
2,-0.858
3,-4.806
4,-4.957
5,-2.115
6,-2.505
7,-4.767
8,-4.625